1.
Computed, not measured: crystalline Pm8Sm2Zn at its relaxed geometry at the GGA-PBE level of DFT.

Its raw total energy is -96.2 eV per cell. As for the formation enthalpy at 0 K: 0.0543 eV/atom. As for the theoretical density: 7.0 g/cm3. The density of states at the Fermi level comes out at 34.28 states/eV/cell.

It has space group C2/m (No. 12), with a = 18.0791 Å, b = 5.6572 Å, c = 7.5524 Å, α = 90.00°, β = 109.93° and γ = 90.00°. The inequivalent atoms are Pm at (0.0104, 0.0000, 0.2716), Pm at (0.1088, 0.5000, 0.9170), Pm at (0.1529, 0.5000, 0.4247), Pm at (0.1845, 0.0000, 0.7203), Sm at (0.1870, 0.0000, 0.1703) and Zn at (0.0000, 0.5000, 0.5000).

2.
Computed, not measured: crystalline Pm2Sm2Zn at its relaxed geometry at the GGA-PBE level of DFT.

Its raw total energy is -41.6 eV per cell. As for the formation enthalpy at 0 K: -0.1206 eV/atom. As for the theoretical density: 7.2 g/cm3. The density of states at the Fermi level comes out at 11.17 states/eV/cell.

It has space group I4/mmm (No. 139), with a = 3.6512 Å, b = 3.6512 Å, c = 22.6922 Å, α = 90.00°, β = 90.00° and γ = 90.00°. The inequivalent atoms are Pm at (0.0000, 0.0000, 0.1937), Sm at (0.0000, 0.0000, 0.4209) and Zn at (0.0000, 0.0000, 0.0000).

3.
Computed, not measured: crystalline Pm6SmZn at its relaxed geometry at the GGA-PBE level of DFT.

Its raw total energy is -65.8 eV per cell. As for the formation enthalpy at 0 K: 0.2012 eV/atom. As for the theoretical density: 6.9 g/cm3. The density of states at the Fermi level comes out at 24.77 states/eV/cell.

It has space group C2/m (No. 12), with a = 6.8477 Å, b = 12.2270 Å, c = 6.8345 Å, α = 90.00°, β = 113.85° and γ = 90.00°. The inequivalent atoms are Pm at (0.0397, 0.2215, 0.2506), Pm at (0.0556, 0.5000, 0.7668), Sm at (0.0000, 0.0000, 0.5000) and Zn at (0.0000, 0.0000, 0.0000).

4.
Computed, not measured: crystalline Pm2SmZn at its relaxed geometry at the GGA-PBE level of DFT.

Its raw total energy is -61.0 eV per cell. As for the formation enthalpy at 0 K: 0.0640 eV/atom. As for the theoretical density: 7.3 g/cm3. The density of states at the Fermi level comes out at 20.28 states/eV/cell.

It has space group F-43m (No. 216), with a = 7.7096 Å, b = 7.7096 Å, c = 7.7096 Å, α = 90.00°, β = 90.00° and γ = 90.00°. The inequivalent atoms are Pm at (0.0000, 0.0000, 0.0000), Pm at (0.2500, 0.2500, 0.2500), Sm at (0.0000, 0.0000, 0.5000) and Zn at (0.2500, 0.2500, 0.7500).